(1)
Zr2MoW, PBEsol geometry, DFT meta-GGA SCAN; E_form = 0.13 eV per atom; ΔE to the lowest computed polymorph = 0.000 eV/atom; space-group type = No. 35; DOS at the Fermi energy = 8.346 states/eV/cell
1.0
3.201 0.000 0.000
0.000 4.790 0.000
0.000 0.000 9.539
Zr Mo W
4 2 2
Cartesian
0.000 0.000 0.000 Zr
0.000 2.395 2.819 Zr
1.601 0.000 2.819 Zr
1.601 2.395 0.000 Zr
0.000 0.000 5.142 Mo
1.601 2.395 5.142 Mo
0.000 2.395 7.179 W
1.601 0.000 7.179 W


(2)
SrLaIrOs2, PBEsol geometry, DFT meta-GGA SCAN; E_form = 0.79 eV per atom; space-group type = No. 123; DOS at the Fermi energy = 2.948 states/eV/cell
1.0
4.833 0.000 0.000
0.000 4.833 0.000
0.000 0.000 5.165
Sr La Ir Os
1 1 1 2
Cartesian
0.000 0.000 0.000 Sr
2.416 2.416 0.000 La
0.000 0.000 2.582 Ir
0.000 2.416 2.582 Os
2.416 0.000 2.582 Os


(3)
ZrTaN3, PBEsol geometry, DFT meta-GGA SCAN; energy relative to the elements, uncorrected = -0.6430 eV/atom; space-group type = No. 221; DOS at the Fermi energy = 0.676 states/eV/cell
1.0
3.967 0.000 0.000
0.000 3.967 0.000
0.000 0.000 3.967
Zr Ta N
1 1 3
Cartesian
0.000 0.000 0.000 Zr
1.983 1.983 1.983 Ta
0.000 1.983 1.983 N
1.983 0.000 1.983 N
1.983 1.983 0.000 N


(4)
Y2FeAu, PBEsol geometry, DFT meta-GGA SCAN; E_form = -0.49 eV per atom; space-group type = No. 38; DOS at the Fermi energy = 6.326 states/eV/cell
1.0
4.264 0.000 0.000
0.000 3.885 0.000
0.000 0.000 10.478
Y Fe Au
4 2 2
Cartesian
0.000 0.000 0.000 Y
0.000 1.943 5.239 Y
2.132 0.000 3.047 Y
2.132 1.943 8.286 Y
2.132 0.000 5.987 Fe
2.132 1.943 0.748 Fe
0.000 0.000 7.502 Au
0.000 1.943 2.263 Au


(5)
AlIn2W, PBEsol geometry, DFT meta-GGA SCAN; E_form = 0.41 eV per atom; space-group type = No. 44; DOS at the Fermi energy = 3.567 states/eV/cell
1.0
3.727 0.000 0.000
0.000 4.378 0.000
0.000 0.000 8.856
Al In W
2 4 2
Cartesian
0.000 0.000 0.000 Al
1.863 2.189 4.428 Al
0.000 0.000 4.568 In
0.000 2.189 6.696 In
1.863 0.000 2.268 In
1.863 2.189 0.140 In
0.000 2.189 2.424 W
1.863 0.000 6.851 W


(6)
Ca3CrS, PBEsol geometry, DFT meta-GGA SCAN; energy relative to the elements, uncorrected = 0.3871 eV/atom; space-group type = No. 221; DOS at the Fermi energy = 6.543 states/eV/cell
1.0
5.313 0.000 0.000
0.000 5.313 0.000
0.000 0.000 5.313
Ca Cr S
3 1 1
Cartesian
0.000 0.000 2.656 Ca
0.000 2.656 0.000 Ca
2.656 0.000 0.000 Ca
0.000 0.000 0.000 Cr
2.656 2.656 2.656 S